Compound: SmPuAl
Source: Alexandria
Functional: PBE
Structure: optimized geometry

Cell lengths 3.2736, 5.1670, 5.1670 Å; angles 120.00, 90.00, 90.00 degrees
With the nearest neighbours (Å) after each atom.
Fractional coordinates of all 3 atoms:
Pu  0.0269  0.0000  0.0000  3 Al 3.14, 3 Sm 3.24, 2 Pu 3.27
Sm  0.6446  0.3333  0.6667  3 Al 3.16, 3 Pu 3.24, 2 Sm 3.27
Al  0.3285  0.6667  0.3333  3 Pu 3.14, 3 Sm 3.16, 2 Al 3.27

## Properties
**Fermi-level density of states**: 2.263 states/eV/atom
**ρ**: 9.2 g/cm3
**E_tot**: -7.617 eV per atom
**Distance to the lowest polymorph of the same formula**: 0.17 eV/f.u.

Compound: SmPuAl
Source: Alexandria
Functional: PBE
Structure: optimized geometry

Cell lengths 3.6504, 3.6504, 6.4492 Å; angles 106.44, 106.44, 90.00 degrees
With the nearest neighbours (Å) after each atom.
Fractional coordinates of all 3 atoms:
Sm  0.0158  0.0158  0.0317  4 Al 3.16, 5 Pu 3.51-3.53
Pu  0.3146  0.3146  0.6291  4 Al 3.10
Al  0.6696  0.6696  0.3392  4 Pu 3.10, 4 Sm 3.16

## Properties
**Fermi-level density of states**: 2.191 states/eV/atom
**ρ**: 8.9 g/cm3
**E_tot**: -7.672 eV per atom
**Distance to the lowest polymorph of the same formula**: 0.00 eV/f.u.

Compound: Sm2PuAl6
Source: Alexandria
Functional: PBE
Structure: optimized geometry

Cell lengths 3.5421, 7.9774, 7.9774 Å; angles 60.00, 90.00, 90.00 degrees
With the nearest neighbours (Å) after each atom.
Fractional coordinates of all 9 atoms:
Sm  0.0000  0.3333  0.3333  12 Al 3.20, 2 Sm 3.54
Pu  0.0000  0.0000  0.0000  12 Al 3.18-3.19, 2 Pu 3.54
Al  0.5000  0.6681  0.3319  3 Al 2.65-2.68
Sm  0.0000  0.6667  0.6667  12 Al 3.20, 2 Sm 3.54
Al  0.5000  0.3319  0.6681  3 Al 2.65-2.68
Al  0.4996  0.0000  0.6681  3 Al 2.65-2.68
Al  0.4996  0.6681  0.0000  3 Al 2.65-2.68
Al  0.5004  0.3319  0.0000  3 Al 2.65-2.68
Al  0.5004  0.0000  0.3319  3 Al 2.65-2.68

## Properties
**Fermi-level density of states**: 0.842 states/eV/atom
**ρ**: 6.0 g/cm3
**E_tot**: -5.546 eV per atom

Compound: Sm2PuAl
Source: Alexandria
Functional: PBE
Structure: optimized geometry

Cell lengths 4.5777, 4.8623, 4.8623 Å; angles 90.00, 90.00, 90.00 degrees
With the nearest neighbours (Å) after each atom.
Fractional coordinates of all 4 atoms:
Sm  0.0000  0.5000  0.0000  4 Al 3.34, 4 Pu 3.34, 4 Sm 3.44
Al  0.5000  0.5000  0.5000  8 Sm 3.34, 4 Pu 3.44
Pu  0.5000  0.0000  0.0000  8 Sm 3.34, 4 Al 3.44
Sm  0.0000  0.0000  0.5000  4 Al 3.34, 4 Pu 3.34, 4 Sm 3.44

## Properties
**Fermi-level density of states**: 2.817 states/eV/atom
**ρ**: 8.8 g/cm3
**E_tot**: -6.946 eV per atom
**Distance to the lowest polymorph of the same formula**: 0.02 eV/f.u.

Compound: SmPuAl6
Source: Alexandria
Functional: PBE
Structure: optimized geometry

Cell lengths 4.4625, 6.0172, 6.0282 Å; angles 90.00, 90.00, 90.00 degrees
With the nearest neighbours (Å) after each atom.
Fractional coordinates of all 8 atoms:
Al  0.0000  0.1335  0.7643  6 Al 2.75-2.84
Al  0.5000  0.8586  0.2479  7 Al 2.77-3.04, 2 Pu 3.07
Al  0.5000  0.2608  0.0000  6 Al 2.75-2.84, 2 Pu 3.08
Al  0.0000  0.1335  0.2357  6 Al 2.75-2.84
Al  0.0000  0.7550  0.5000  6 Al 2.77-2.78
Sm  0.5000  0.3873  0.5000  10 Al 3.11-3.22
Pu  0.0000  0.6125  0.0000  10 Al 3.07-3.21
Al  0.5000  0.8586  0.7521  7 Al 2.77-3.04, 2 Pu 3.07

## Properties
**Fermi-level density of states**: 1.704 states/eV/atom
**ρ**: 5.7 g/cm3
**E_tot**: -5.495 eV per atom

Compound: Sm2PuAl
Source: Alexandria
Functional: PBE
Structure: optimized geometry

Cell lengths 5.3720, 5.3720, 5.3723 Å; angles 60.00, 60.00, 60.00 degrees
With the nearest neighbours (Å) after each atom.
Fractional coordinates of all 4 atoms:
Pu  0.5000  0.5000  0.5000  8 Sm 3.29
Sm  0.2500  0.2500  0.2499  4 Pu 3.29, 4 Al 3.29
Sm  0.7500  0.7500  0.7501  4 Pu 3.29, 4 Al 3.29
Al  0.0000  0.0000  0.0000  8 Sm 3.29

## Properties
**Fermi-level density of states**: 3.871 states/eV/atom
**ρ**: 8.7 g/cm3
**E_tot**: -6.857 eV per atom
**Distance to the lowest polymorph of the same formula**: 0.38 eV/f.u.